Record 1
Ac2Ga3Ge4Au: optimized geometry, PBE-GGA.

Output
The magnetization is 0.0 μB per cell. As for the volume: 226 Å³/f.u. Its formation energy is -0.445 eV/atom.

a = 4.815 Å, b = 4.815 Å, c = 9.739 Å
α = 90.00°, β = 90.00°, γ = 90.00°
Space group P-4m2 (No. 115)
Unique sites:
Ac: 0.000 0.500 0.246 [2 per cell]
Ga: 0.000 0.000 0.000 [1 per cell]
Ga: 0.000 0.500 0.612 [2 per cell]
Ge: 0.000 0.000 0.500 [1 per cell]
Ge: 0.000 0.500 0.871 [2 per cell]
Ge: 0.500 0.500 0.500 [1 per cell]
Au: 0.500 0.500 0.000 [1 per cell]

Record 2
SiTcW2: optimized geometry, PBE-GGA.

Output
Its energy relative to the elements, uncorrected is 203 meV per atom. The magnetization is 0.0 μB per cell. As for the volume: 60 Å³/f.u.

a = 4.448 Å, b = 4.448 Å, c = 3.011 Å
α = 90.00°, β = 90.00°, γ = 90.00°
Space group P4/mmm (No. 123)
Unique sites:
Si: 0.000 0.000 0.000 [1 per cell]
Tc: 0.500 0.500 0.000 [1 per cell]
W: 0.000 0.500 0.500 [2 per cell]

Record 3
CaNpPN: optimized geometry, PBE-GGA.

Output
Its energy relative to the elements, uncorrected is -987 meV per atom. The magnetization is 9.0 μB per cell. As for the volume: 75 Å³/f.u.

a = 3.7205 Å, b = 3.7205 Å, c = 18.7506 Å
α = 90.00°, β = 90.00°, γ = 120.00°
Space group R3m (No. 160, hexagonal axes)
Unique sites:
Ca: 0.0000 0.0000 0.0000 [3 per cell]
Np: 0.0000 0.0000 0.5210 [3 per cell]
P: 0.0000 0.0000 0.7635 [3 per cell]
N: 0.0000 0.0000 0.2396 [3 per cell]

Record 4
Hf2Pd5Au: optimized geometry, PBE-GGA.

Output
The magnetization is 0.0 μB per cell. As for the volume: 133 Å³/f.u. Its formation energy is -0.708 eV/atom.

a = 5.833 Å, b = 11.322 Å, c = 4.022 Å
α = 90.00°, β = 90.00°, γ = 90.00°
Space group Pbam (No. 55)
Unique sites:
Hf: 0.233 0.131 0.000 [4 per cell]
Pd: 0.000 0.000 0.500 [2 per cell]
Pd: 0.011 0.750 0.500 [4 per cell]
Pd: 0.245 0.376 0.000 [4 per cell]
Au: 0.000 0.500 0.500 [2 per cell]

| no. | uncorrected energy (eV/atom) |
| --- | --- |
| 1 | -4.349 |
| 2 | -10.221 |
| 3 | -8.156 |
| 4 | -6.852 |